[1]
Material: ZnInCu2
Method: DFT, PBE-GGA
State: optimized geometry

abc: 3.003 3.242 6.248
angles: 90.00 90.00 90.00
Positions (direct):
Zn1 0.000 0.000 0.000
In1 0.000 0.000 0.500
Cu1 0.500 0.500 0.213
Cu2 0.500 0.500 0.787

Values from the calculation:
The calculation puts the density of states at the Fermi level at 0.49 states/eV/f.u. Its space group is Pmmm. The calculation puts the formation energy at 0.013 eV per atom. Its crystal system is orthorhombic.

[2]
Material: ZnInCu5
Method: DFT, PBE-GGA
State: optimized geometry

abc: 4.662 4.662 5.135
angles: 90.00 90.00 112.37
Positions (direct):
Zn1 0.000 0.000 0.000
In1 0.500 0.500 0.500
Cu1 0.000 0.000 0.500
Cu2 0.000 0.500 0.240
Cu3 0.000 0.500 0.760
Cu4 0.500 0.000 0.240
Cu5 0.500 0.000 0.760

Values from the calculation:
The calculation puts the density of states at the Fermi level at 2.49 states/eV/f.u. Its space group is Cmmm. The calculation puts the formation energy at 0.075 eV per atom. Its crystal system is orthorhombic.

Q: Which of these has the highest formation energy?
A: ZnInCu5

Q: Among the records above, which one has the lowest formation energy?
A: ZnInCu2

Q: Which value of formation energy does entry 1 give?
A: 0.013 eV per atom